Record 1
First-principles (GGA-PBE) data for crystalline YGe2Ir3 at its relaxed geometry, as listed in the Alexandria database. Values from VASP.

Total moment, μB/cell: 0.000
Calculated density, g/cm3: 12.9
Space-group type: No. 12

The structure in Quantum ESPRESSO input format:
```
&SYSTEM
  ibrav = 0, nat = 18, ntyp = 3
/
ATOMIC_SPECIES
Ir 192.22 Ir.upf
Ge 72.64 Ge.upf
Y 88.91 Y.upf
CELL_PARAMETERS angstrom
-1.250 -0.893 -3.756
3.369 -7.222 2.788
-9.385 0.270 3.059
ATOMIC_POSITIONS crystal
Ir 0.679 0.358 0.959
Ir 0.621 0.241 0.198
Ge 0.362 0.724 0.545
Ge 0.462 0.923 0.218
Ir 0.960 0.919 0.671
Ir 0.783 0.566 0.608
Ir 0.379 0.759 0.802
Ge 0.538 0.077 0.782
Y 0.839 0.678 0.297
Ir 0.321 0.642 0.041
Ge 0.195 0.389 0.128
Y 0.000 0.000 0.000
Ge 0.805 0.611 0.872
Ir 0.217 0.434 0.392
Ir 0.500 0.000 0.500
Ir 0.040 0.081 0.329
Y 0.161 0.322 0.703
Ge 0.638 0.276 0.455
```

Record 2
First-principles (GGA-PBE) data for crystalline Y2Ge4Ir5 at its relaxed geometry, as listed in the Alexandria database. Values from VASP.

Total moment, μB/cell: 0.000
Calculated density, g/cm3: 11.7
Space-group type: No. 69

The structure in Quantum ESPRESSO input format:
```
&SYSTEM
  ibrav = 0, nat = 11, ntyp = 3
/
ATOMIC_SPECIES
Ir 192.22 Ir.upf
Y 88.91 Y.upf
Ge 72.64 Ge.upf
CELL_PARAMETERS angstrom
5.637 0.000 0.000
2.819 4.795 0.000
2.819 0.000 7.495
ATOMIC_POSITIONS crystal
Ir 0.750 0.500 0.500
Y 0.880 0.000 0.240
Ir 0.500 0.500 0.000
Ir 0.250 0.500 0.500
Ge 0.474 0.314 0.738
Ge 0.526 0.686 0.262
Ge 0.212 0.314 0.262
Ir 0.000 0.500 0.000
Ir 0.500 0.000 0.000
Y 0.120 0.000 0.760
Ge 0.788 0.686 0.738
```

Record 3
First-principles (GGA-PBE) data for crystalline YGe2Ir at its relaxed geometry, as listed in the Alexandria database. Values from VASP.

Total moment, μB/cell: 0.000
Calculated density, g/cm3: 9.8
Space-group type: No. 225

The structure in Quantum ESPRESSO input format:
```
&SYSTEM
  ibrav = 0, nat = 4, ntyp = 3
/
ATOMIC_SPECIES
Ge 72.64 Ge.upf
Ir 192.22 Ir.upf
Y 88.91 Y.upf
CELL_PARAMETERS angstrom
-3.023 -1.709 3.142
-4.135 -1.689 -1.407
-0.833 -4.605 0.183
ATOMIC_POSITIONS crystal
Ge 0.250 0.250 0.250
Ir 0.500 0.500 0.500
Y 0.000 0.000 0.000
Ge 0.750 0.750 0.750
```

Record 4
First-principles (GGA-PBE) data for crystalline Y2Ge4Ir3 at its relaxed geometry, as listed in the Alexandria database. Values from VASP.

Total moment, μB/cell: 0.000
Energy above the lowest structure with this stoichiometry, meV per atom: 0
Calculated density, g/cm3: 10.9
Space-group type: No. 64

The structure in Quantum ESPRESSO input format:
```
&SYSTEM
  ibrav = 0, nat = 18, ntyp = 3
/
ATOMIC_SPECIES
Ir 192.22 Ir.upf
Ge 72.64 Ge.upf
Y 88.91 Y.upf
CELL_PARAMETERS angstrom
5.335 0.000 -2.090
0.000 7.453 0.000
0.060 0.000 8.008
ATOMIC_POSITIONS crystal
Ir 0.524 0.750 0.547
Ge 0.191 0.750 0.883
Ir 0.976 0.250 0.453
Ge 0.309 0.250 0.117
Y 0.390 0.091 0.780
Ge 0.318 0.471 0.637
Y 0.110 0.591 0.220
Ir 0.476 0.250 0.453
Ir 0.500 0.500 0.000
Y 0.610 0.909 0.220
Ge 0.691 0.750 0.883
Ge 0.818 0.029 0.637
Ge 0.182 0.971 0.363
Ir 0.024 0.750 0.547
Y 0.890 0.409 0.780
Ge 0.682 0.529 0.363
Ir 0.000 0.000 0.000
Ge 0.809 0.250 0.117
```

Record 5
First-principles (GGA-PBE) data for crystalline Y2Ge4Ir3 at its relaxed geometry, as listed in the Alexandria database. Values from VASP.

Total moment, μB/cell: 0.000
Energy above the lowest structure with this stoichiometry, meV per atom: 101
Calculated density, g/cm3: 10.4
Space-group type: No. 69

The structure in Quantum ESPRESSO input format:
```
&SYSTEM
  ibrav = 0, nat = 9, ntyp = 3
/
ATOMIC_SPECIES
Ge 72.64 Ge.upf
Ir 192.22 Ir.upf
Y 88.91 Y.upf
CELL_PARAMETERS angstrom
-1.843 2.190 -4.808
3.841 -4.068 -0.044
-5.494 -3.302 2.216
ATOMIC_POSITIONS crystal
Ge 0.993 0.327 0.320
Ir 0.000 0.500 0.000
Ge 0.007 0.673 0.680
Y 0.369 0.369 0.738
Ge 0.673 0.007 0.680
Ir 0.000 0.000 0.000
Ir 0.500 0.000 0.000
Ge 0.327 0.993 0.320
Y 0.631 0.631 0.262
```

Record 6
First-principles (GGA-PBE) data for crystalline Y3Ge13Ir4 at its relaxed geometry, as listed in the Alexandria database. Values from VASP.

Total moment, μB/cell: 0.000
Calculated density, g/cm3: 8.9
Space-group type: No. 223

The structure in Quantum ESPRESSO input format:
```
&SYSTEM
  ibrav = 0, nat = 40, ntyp = 3
/
ATOMIC_SPECIES
Ge 72.64 Ge.upf
Y 88.91 Y.upf
Ir 192.22 Ir.upf
CELL_PARAMETERS angstrom
-6.119 -3.509 -5.677
6.118 -6.026 -2.870
-2.666 -5.776 6.444
ATOMIC_POSITIONS crystal
Ge 0.000 0.145 0.307
Ge 0.500 0.193 0.355
Ge 0.193 0.355 0.500
Y 0.500 0.750 0.000
Ge 0.000 0.145 0.693
Ge 0.307 0.000 0.145
Ir 0.250 0.750 0.750
Y 0.000 0.500 0.750
Ge 0.355 0.500 0.193
Ge 0.500 0.807 0.645
Ir 0.250 0.250 0.250
Ge 0.855 0.307 0.000
Ge 0.193 0.645 0.500
Ge 0.145 0.307 0.000
Ge 0.807 0.355 0.500
Ir 0.750 0.750 0.750
Ge 0.000 0.000 0.000
Y 0.750 0.000 0.500
Ge 0.000 0.855 0.693
Ge 0.500 0.500 0.500
Ge 0.500 0.193 0.645
Ir 0.750 0.250 0.750
Ge 0.355 0.500 0.807
Ge 0.307 0.000 0.855
Y 0.000 0.500 0.250
Ge 0.645 0.500 0.193
Ge 0.500 0.807 0.355
Ge 0.855 0.693 0.000
Ir 0.250 0.750 0.250
Y 0.250 0.000 0.500
Y 0.500 0.250 0.000
Ge 0.693 0.000 0.145
Ge 0.145 0.693 0.000
Ge 0.000 0.855 0.307
Ge 0.693 0.000 0.855
Ir 0.250 0.250 0.750
Ir 0.750 0.750 0.250
Ge 0.807 0.645 0.500
Ge 0.645 0.500 0.807
Ir 0.750 0.250 0.250
```

Record 7
First-principles (GGA-PBE) data for crystalline YGe2Ir at its relaxed geometry, as listed in the Alexandria database. Values from VASP.

Total moment, μB/cell: 0.000
Calculated density, g/cm3: 9.5
Space-group type: No. 62

The structure in Quantum ESPRESSO input format:
```
&SYSTEM
  ibrav = 0, nat = 16, ntyp = 3
/
ATOMIC_SPECIES
Ir 192.22 Ir.upf
Ge 72.64 Ge.upf
Y 88.91 Y.upf
CELL_PARAMETERS angstrom
-2.228 3.244 1.838
2.050 -2.020 6.050
8.180 6.044 -0.754
ATOMIC_POSITIONS crystal
Ir 0.250 0.590 0.097
Ge 0.250 0.245 0.974
Ir 0.750 0.410 0.903
Y 0.750 0.770 0.318
Ge 0.250 0.964 0.164
Ge 0.250 0.745 0.526
Y 0.250 0.230 0.682
Y 0.250 0.730 0.818
Ge 0.750 0.255 0.474
Ge 0.250 0.464 0.336
Ge 0.750 0.036 0.836
Ir 0.250 0.090 0.403
Y 0.750 0.270 0.182
Ir 0.750 0.910 0.597
Ge 0.750 0.755 0.026
Ge 0.750 0.536 0.664
```

Record 8
First-principles (GGA-PBE) data for crystalline Y2GeIr2 at its relaxed geometry, as listed in the Alexandria database. Values from VASP.

Total moment, μB/cell: 0.000
Calculated density, g/cm3: 10.2
Space-group type: No. 127

The structure in Quantum ESPRESSO input format:
```
&SYSTEM
  ibrav = 0, nat = 10, ntyp = 3
/
ATOMIC_SPECIES
Y 88.91 Y.upf
Ir 192.22 Ir.upf
Ge 72.64 Ge.upf
CELL_PARAMETERS angstrom
-0.923 5.874 -3.729
-4.618 2.296 4.760
3.102 1.836 2.124
ATOMIC_POSITIONS crystal
Y 0.677 0.823 0.500
Y 0.823 0.323 0.500
Y 0.177 0.677 0.500
Ir 0.867 0.633 0.000
Ir 0.367 0.867 0.000
Y 0.323 0.177 0.500
Ir 0.633 0.133 0.000
Ir 0.133 0.367 0.000
Ge 0.000 0.000 0.000
Ge 0.500 0.500 0.000
```

Number 1: formation energy from the elements -0.62 eV per atom. Number 2: formation energy from the elements -0.61 eV per atom. Number 3: formation energy from the elements -0.35 eV per atom. Number 4: formation energy from the elements -0.75 eV per atom. Number 5: formation energy from the elements -0.65 eV per atom. Number 6: formation energy from the elements -0.52 eV per atom. Number 7: formation energy from the elements -0.69 eV per atom. Number 8: formation energy from the elements -0.62 eV per atom.